(1)
This record from Alexandria describes an optimized crystal structure of Pm4PrGa4. The functional is PBE.

Results
crystal system: tetragonal
total DFT energy (no corrections): -0.322 Ry/atom
spin magnetization: 0.000 μB per atom

abc: 4.908 10.273 10.273
angles: 90.00 90.00 90.00
Sites, in units of the cell vectors:
Pm  0.500  0.367  0.855
Pm  0.000  0.645  0.867
Pm  0.500  0.633  0.145
Pm  0.000  0.133  0.645
Pm  0.500  0.855  0.633
Pm  0.000  0.867  0.355
Pm  0.000  0.355  0.133
Pm  0.500  0.145  0.367
Pr  0.000  0.000  0.000
Pr  0.500  0.500  0.500
Ga  0.500  0.928  0.172
Ga  0.500  0.072  0.828
Ga  0.000  0.672  0.572
Ga  0.000  0.428  0.672
Ga  0.000  0.572  0.328
Ga  0.500  0.172  0.072
Ga  0.500  0.828  0.928
Ga  0.000  0.328  0.428

---

(2)
This record from Alexandria describes an optimized crystal structure of SrCr2Ag. The functional is PBE.

Results
crystal system: tetragonal
total DFT energy (no corrections): -0.376 Ry/atom
spin magnetization: 0.200 μB per atom

abc: 3.689 3.689 6.688
angles: 90.00 90.00 90.00
Sites, in units of the cell vectors:
Ag  0.500  0.500  0.750
Cr  0.000  0.000  0.885
Cr  0.000  0.000  0.615
Sr  0.500  0.500  0.250

---

(3)
This record from Alexandria describes an optimized crystal structure of Cs6ZnTe4. The functional is PBE.

Results
crystal system: hexagonal
total DFT energy (no corrections): -0.198 Ry/atom
spin magnetization: 0.000 μB per atom

abc: 9.298 11.741 11.741
angles: 120.00 90.00 90.00
Sites, in units of the cell vectors:
Cs  0.455  0.707  0.853
Cs  0.455  0.147  0.293
Cs  0.455  0.147  0.853
Cs  0.955  0.293  0.147
Cs  0.955  0.853  0.707
Cs  0.955  0.853  0.147
Cs  0.636  0.947  0.474
Cs  0.636  0.526  0.053
Cs  0.636  0.526  0.474
Cs  0.136  0.053  0.526
Cs  0.136  0.474  0.947
Cs  0.136  0.474  0.526
Zn  0.748  0.333  0.667
Zn  0.248  0.667  0.333
Te  0.447  0.333  0.667
Te  0.947  0.667  0.333
Te  0.841  0.594  0.797
Te  0.841  0.203  0.406
Te  0.841  0.203  0.797
Te  0.341  0.406  0.203
Te  0.341  0.797  0.594
Te  0.341  0.797  0.203